No. 1
Entry from Alexandria: an optimized crystal structure of SrHgCl (GGA-PBE).

energy relative to the elements, uncorrected = -1267 meV per atom
space-group type = No. 1
ΔE to the lowest computed polymorph = 105.3 meV per atom

Lattice parameters (Å, degrees): 5.672 5.672 7.515 103.71 102.59 112.94
Atoms (fractional coordinates):
Sr  0.000  0.000  0.000
Sr  0.257  0.754  0.500
Hg  0.603  0.415  0.510
Hg  0.907  0.090  0.490
Cl  0.159  0.581  0.091
Cl  0.492  0.069  0.909


No. 2
Entry from Alexandria: an optimized crystal structure of TlGaCu (GGA-PBE).

energy of formation = 0.1402 eV/atom
space-group type = No. 216
ΔE to the lowest computed polymorph = 30.6 meV per atom

Lattice parameters (Å, degrees): 4.459 4.459 4.459 60.00 60.00 60.00
Atoms (fractional coordinates):
Tl  0.000  0.000  0.000
Ga  0.500  0.500  0.500
Cu  0.750  0.750  0.750


No. 3
Entry from Alexandria: an optimized crystal structure of MgZn2Fe2 (GGA-PBE).

energy of formation = 0.2899 eV/atom
space-group type = No. 139
ΔE to the lowest computed polymorph = 173.8 meV per atom

Lattice parameters (Å, degrees): 6.245 6.245 6.245 145.48 145.48 49.62
Atoms (fractional coordinates):
Mg  0.000  0.000  0.000
Zn  0.250  0.750  0.500
Zn  0.750  0.250  0.500
Fe  0.404  0.404  0.000
Fe  0.596  0.596  0.000


No. 4
Entry from Alexandria: an optimized crystal structure of VHgSbCl6 (GGA-PBE).

energy relative to the elements, uncorrected = -903 meV per atom
space-group type = No. 149

Lattice parameters (Å, degrees): 6.589 6.589 9.239 90.00 90.00 120.00
Atoms (fractional coordinates):
V  0.000  0.000  0.000
Hg  0.333  0.667  0.500
Sb  0.667  0.333  0.000
Cl  0.303  0.014  0.849
Cl  0.303  0.289  0.151
Cl  0.711  0.014  0.151
Cl  0.711  0.697  0.849
Cl  0.986  0.289  0.849
Cl  0.986  0.697  0.151


No. 5
Entry from Alexandria: an optimized crystal structure of TlPt2Au (GGA-PBE).

energy of formation = 0.0817 eV/atom
space-group type = No. 119

Lattice parameters (Å, degrees): 5.098 5.098 5.098 131.95 131.95 70.30
Atoms (fractional coordinates):
Tl  0.000  0.000  0.000
Pt  0.500  0.500  0.000
Pt  0.750  0.250  0.500
Au  0.250  0.750  0.500


No. 6
Entry from Alexandria: an optimized crystal structure of TbRh6 (GGA-PBE).

energy of formation = 0.4713 eV/atom
space-group type = No. 229
ΔE to the lowest computed polymorph = 696.7 meV per atom

Lattice parameters (Å, degrees): 5.828 5.828 5.828 109.47 109.47 109.47
Atoms (fractional coordinates):
Tb  0.000  0.000  0.000
Rh  0.250  0.500  0.750
Rh  0.250  0.750  0.500
Rh  0.500  0.250  0.750
Rh  0.500  0.750  0.250
Rh  0.750  0.250  0.500
Rh  0.750  0.500  0.250


No. 7
Entry from Alexandria: an optimized crystal structure of Ac3Al2Zn9 (GGA-PBE).

energy of formation = -0.2746 eV/atom
space-group type = No. 71

Lattice parameters (Å, degrees): 8.755 8.755 8.755 149.10 118.21 70.69
Atoms (fractional coordinates):
Ac  0.000  0.000  0.000
Ac  0.286  0.286  0.000
Ac  0.714  0.714  0.000
Al  0.328  0.500  0.828
Al  0.672  0.500  0.172
Zn  0.003  0.648  0.356
Zn  0.151  0.864  0.288
Zn  0.292  0.648  0.644
Zn  0.424  0.136  0.288
Zn  0.500  0.000  0.500
Zn  0.576  0.864  0.712
Zn  0.708  0.352  0.356
Zn  0.849  0.136  0.712
Zn  0.997  0.352  0.644


No. 8
Entry from Alexandria: an optimized crystal structure of ErFeB2Os (GGA-PBE).

energy of formation = -0.4235 eV/atom
space-group type = No. 119

Lattice parameters (Å, degrees): 5.426 5.426 5.426 139.67 139.67 58.36
Atoms (fractional coordinates):
Er  0.000  0.000  0.000
Fe  0.750  0.250  0.500
B  0.349  0.349  0.000
B  0.651  0.651  0.000
Os  0.250  0.750  0.500


Number 1: volume 33.8 Å³ per atom, total energy -2.54 eV per atom. Number 2: volume 20.9 Å³ per atom, total energy -3.02 eV per atom. Number 3: volume 15.6 Å³ per atom, total energy -3.92 eV per atom. Number 4: volume 38.6 Å³ per atom, total energy -3.64 eV per atom. Number 5: volume 18.0 Å³ per atom, total energy -4.35 eV per atom. Number 6: volume 21.8 Å³ per atom, total energy -6.49 eV per atom. Number 7: volume 21.4 Å³ per atom, total energy -2.51 eV per atom. Number 8: volume 13.3 Å³ per atom, total energy -7.95 eV per atom.